# Ho2PaSi6 PBE relaxed
data_Ho2PaSi6
_symmetry_space_group_name_H-M 'P 1'
_symmetry_Int_Tables_number 1
_symmetry_space_group_name_Hall 'P 1'
_cell_length_a 7.044
_cell_length_b 7.044
_cell_length_c 3.921
_cell_angle_alpha 90.00
_cell_angle_beta 90.00
_cell_angle_gamma 120.00
loop_
_atom_site_label
_atom_site_type_symbol
_atom_site_fract_x
_atom_site_fract_y
_atom_site_fract_z
Ho1 Ho 0.333 0.667 0.000
Ho2 Ho 0.667 0.333 0.000
Pa1 Pa 0.000 0.000 0.000
Si1 Si 0.000 0.333 0.500
Si2 Si 0.000 0.667 0.500
Si3 Si 0.333 0.000 0.500
Si4 Si 0.333 0.333 0.500
Si5 Si 0.667 0.000 0.500
Si6 Si 0.667 0.667 0.500
# Space group = No. 191
# Energy relative to the elements, uncorrected = -4.84 eV/f.u.

=====

# HoPaSi3 PBE relaxed
data_HoPaSi3
_symmetry_space_group_name_H-M 'P 1'
_symmetry_Int_Tables_number 1
_symmetry_space_group_name_Hall 'P 1'
_cell_length_a 12.369
_cell_length_b 12.369
_cell_length_c 3.965
_cell_angle_alpha 90.00
_cell_angle_beta 90.00
_cell_angle_gamma 161.08
loop_
_atom_site_label
_atom_site_type_symbol
_atom_site_fract_x
_atom_site_fract_y
_atom_site_fract_z
Ho1 Ho 0.203 0.797 0.750
Ho2 Ho 0.797 0.203 0.250
Pa1 Pa 0.070 0.930 0.250
Pa2 Pa 0.930 0.070 0.750
Si1 Si 0.325 0.675 0.750
Si2 Si 0.382 0.618 0.250
Si3 Si 0.476 0.524 0.250
Si4 Si 0.524 0.476 0.750
Si5 Si 0.618 0.382 0.750
Si6 Si 0.675 0.325 0.250
# Space group = No. 63
# Energy relative to the elements, uncorrected = -3.14 eV/f.u.

=====

# Ho2PaSi PBE relaxed
data_Ho2PaSi
_symmetry_space_group_name_H-M 'P 1'
_symmetry_Int_Tables_number 1
_symmetry_space_group_name_Hall 'P 1'
_cell_length_a 3.310
_cell_length_b 3.310
_cell_length_c 32.228
_cell_angle_alpha 90.00
_cell_angle_beta 90.00
_cell_angle_gamma 120.00
loop_
_atom_site_label
_atom_site_type_symbol
_atom_site_fract_x
_atom_site_fract_y
_atom_site_fract_z
Ho1 Ho 0.000 0.000 0.100
Ho2 Ho 0.000 0.000 0.900
Ho3 Ho 0.333 0.667 0.566
Ho4 Ho 0.333 0.667 0.767
Ho5 Ho 0.667 0.333 0.233
Ho6 Ho 0.667 0.333 0.434
Pa1 Pa 0.000 0.000 0.000
Pa2 Pa 0.333 0.667 0.667
Pa3 Pa 0.667 0.333 0.333
Si1 Si 0.000 0.000 0.500
Si2 Si 0.333 0.667 0.167
Si3 Si 0.667 0.333 0.833
# ΔE to the lowest computed polymorph = 259 meV/atom
# Space group = No. 166
# Energy relative to the elements, uncorrected = 0.58 eV/f.u.

=====

# HoPa2Si PBE relaxed
data_HoPa2Si
_symmetry_space_group_name_H-M 'P 1'
_symmetry_Int_Tables_number 1
_symmetry_space_group_name_Hall 'P 1'
_cell_length_a 3.174
_cell_length_b 3.174
_cell_length_c 33.494
_cell_angle_alpha 90.00
_cell_angle_beta 90.00
_cell_angle_gamma 120.00
loop_
_atom_site_label
_atom_site_type_symbol
_atom_site_fract_x
_atom_site_fract_y
_atom_site_fract_z
Ho1 Ho 0.000 0.000 0.000
Ho2 Ho 0.333 0.667 0.667
Ho3 Ho 0.667 0.333 0.333
Pa1 Pa 0.000 0.000 0.096
Pa2 Pa 0.000 0.000 0.904
Pa3 Pa 0.333 0.667 0.570
Pa4 Pa 0.333 0.667 0.763
Pa5 Pa 0.667 0.333 0.237
Pa6 Pa 0.667 0.333 0.430
Si1 Si 0.000 0.000 0.500
Si2 Si 0.333 0.667 0.167
Si3 Si 0.667 0.333 0.833
# ΔE to the lowest computed polymorph = 387 meV/atom
# Space group = No. 166
# Energy relative to the elements, uncorrected = 0.81 eV/f.u.

=====

# Ho2PaSi PBE relaxed
data_Ho2PaSi
_symmetry_space_group_name_H-M 'P 1'
_symmetry_Int_Tables_number 1
_symmetry_space_group_name_Hall 'P 1'
_cell_length_a 4.593
_cell_length_b 4.593
_cell_length_c 4.472
_cell_angle_alpha 90.00
_cell_angle_beta 90.00
_cell_angle_gamma 90.00
loop_
_atom_site_label
_atom_site_type_symbol
_atom_site_fract_x
_atom_site_fract_y
_atom_site_fract_z
Ho1 Ho 0.000 0.500 0.000
Ho2 Ho 0.500 0.000 0.000
Pa1 Pa 0.000 0.000 0.500
Si1 Si 0.500 0.500 0.500
# ΔE to the lowest computed polymorph = 0 meV/atom
# Space group = No. 123
# Energy relative to the elements, uncorrected = -0.46 eV/f.u.

=====

# HoPa2Si6 PBE relaxed
data_HoPa2Si6
_symmetry_space_group_name_H-M 'P 1'
_symmetry_Int_Tables_number 1
_symmetry_space_group_name_Hall 'P 1'
_cell_length_a 7.026
_cell_length_b 7.026
_cell_length_c 3.915
_cell_angle_alpha 90.00
_cell_angle_beta 90.00
_cell_angle_gamma 120.00
loop_
_atom_site_label
_atom_site_type_symbol
_atom_site_fract_x
_atom_site_fract_y
_atom_site_fract_z
Ho1 Ho 0.000 0.000 0.000
Pa1 Pa 0.333 0.667 0.000
Pa2 Pa 0.667 0.333 0.000
Si1 Si 0.000 0.334 0.500
Si2 Si 0.000 0.666 0.500
Si3 Si 0.334 0.000 0.500
Si4 Si 0.334 0.334 0.500
Si5 Si 0.666 0.000 0.500
Si6 Si 0.666 0.666 0.500
# Space group = No. 191
# Energy relative to the elements, uncorrected = -4.90 eV/f.u.